1.
Compound: AsHIr2
Source: the Alexandria database
Functional: meta-GGA SCAN
Structure: single point on PBEsol structure

Values from the calculation:
- D(E_F) (states/eV/f.u.) = 0.79
- magnetization (Bohr magnetons per cell) = 0.00
- total DFT energy (no corrections) (eV for the cell shown) = -164.43
- space-group type = Fm-3m, No. 225
- theoretical density (g/cm3) = 16.00

abc: 4.073 4.073 4.073
angles: 60.00 60.00 60.00
Atoms (fractional coordinates):
As 0.500 0.500 0.500
H 0.000 0.000 0.000
Ir 0.750 0.750 0.750
Ir 0.250 0.250 0.250

=====

2.
Compound: AsH2IrS
Source: the Alexandria database
Functional: meta-GGA SCAN
Structure: single point on PBEsol structure

Values from the calculation:
- D(E_F) (states/eV/f.u.) = 1.95
- magnetization (Bohr magnetons per cell) = 0.00
- total DFT energy (no corrections) (eV for the cell shown) = -106.05
- space-group type = P4/mmm, No. 123
- theoretical density (g/cm3) = 8.32

abc: 3.437 3.437 5.090
angles: 90.00 90.00 90.00
Atoms (fractional coordinates):
H 0.000 0.500 0.000
S 0.000 0.000 0.000
H 0.500 0.000 0.000
Ir 0.000 0.000 0.500
As 0.500 0.500 0.500

=====

3.
Compound: TiAs2HIr
Source: the Alexandria database
Functional: meta-GGA SCAN
Structure: single point on PBEsol structure

Values from the calculation:
- D(E_F) (states/eV/f.u.) = 3.32
- magnetization (Bohr magnetons per cell) = 0.77
- total DFT energy (no corrections) (eV for the cell shown) = -125.14
- space-group type = P4/mmm, No. 123
- theoretical density (g/cm3) = 6.25

abc: 4.551 4.775 4.775
angles: 90.00 90.00 90.00
Last column: magnetic moment on the atom in μB.
Atoms (fractional coordinates):
As 0.000 0.000 0.500  -0.01
As 0.000 0.500 0.000  -0.01
H 0.500 0.500 0.500  0.33
Ti 0.000 0.000 0.000  0.05
Ir 0.500 0.000 0.000  0.01

=====

4.
Compound: K2AsH
Source: the Alexandria database
Functional: meta-GGA SCAN
Structure: single point on PBEsol structure

Values from the calculation:
- D(E_F) (states/eV/f.u.) = 1.21
- magnetization (Bohr magnetons per cell) = 4.00
- total DFT energy (no corrections) (eV for the cell shown) = -80.13
- space-group type = I-42d, No. 122
- theoretical density (g/cm3) = 2.21

abc: 6.702 6.702 6.702
angles: 108.05 108.05 112.35
Last column: magnetic moment on the atom in μB.
Atoms (fractional coordinates):
H 0.750 0.250 0.500  0.06
K 0.125 0.549 0.924  0.01
As 0.000 0.000 0.000  0.78
K 0.799 0.875 0.424  0.01
K 0.451 0.375 0.576  0.01
K 0.625 0.201 0.076  0.01
As 0.250 0.750 0.500  0.78
H 0.500 0.500 0.000  0.06

=====

- What is the D(E_F) in the first record?
  0.79 states/eV/f.u.

=====

- Number 1 is which compound?
  AsHIr2

=====

- Which formula does entry 2 have?
  AsH2IrS